Entry from Alexandria via LeMat-Bulk: crystalline TcRuSe2 at its relaxed geometry (PBE).

```
4
Lattice="1.481 -2.471 0.000 1.481 2.471 0.000 0.000 0.000 10.039" Properties=species:S:1:pos:R:3 pbc="T T T"
Tc 0.000 0.000 0.000
Ru 1.481 0.000 7.825
Se 0.000 0.000 5.777
Se 1.481 0.000 2.044
```

D(E_F) ... 4.8 states/eV/f.u.
Energy above the lowest structure with this stoichiometry ... 498.6 meV/atom
SG ... Cmm2 (35)
Raw total energy ... -24.924 eV/f.u.
Energy relative to the elements, uncorrected ... 1.7 eV per formula unit

=====

Entry from Alexandria via LeMat-Bulk: crystalline Al5Cu2Ni at its relaxed geometry (PBE).

```
8
Lattice="-1.363 3.389 6.304 1.363 -3.389 6.304 1.363 3.389 -6.304" Properties=species:S:1:pos:R:3 pbc="T T T"
Al 0.000 0.000 0.000
Al 1.363 2.032 -1.687
Al 1.363 2.032 1.687
Al 0.000 1.357 4.616
Al 0.000 1.357 7.991
Cu 0.000 0.000 2.444
Cu 0.000 0.000 10.164
Ni 0.000 3.389 0.000
```

D(E_F) ... 2.6 states/eV/f.u.
Energy above the lowest structure with this stoichiometry ... 45.3 meV/atom
SG ... Immm (71)
Raw total energy ... -33.924 eV/f.u.

=====

Entry from Alexandria via LeMat-Bulk: crystalline Pm2Nd5Bi4 at its relaxed geometry (PBE).

```
11
Lattice="12.762 -1.781 0.000 12.762 1.781 0.000 -0.233 0.000 8.469" Properties=species:S:1:pos:R:3 pbc="T T T"
Pm 5.884 0.000 2.721
Pm 19.406 0.000 5.748
Nd -0.116 0.000 4.235
Nd 8.412 0.000 0.037
Nd 9.090 0.000 3.738
Nd 16.200 0.000 4.731
Nd 16.878 0.000 8.432
Bi 2.486 0.000 2.092
Bi 11.463 0.000 1.567
Bi 13.827 0.000 6.903
Bi 22.805 0.000 6.378
```

D(E_F) ... 11.9 states/eV/f.u.
SG ... C2/m (12)
Raw total energy ... -51.335 eV/f.u.

=====

Entry from Alexandria via LeMat-Bulk: crystalline LaErAs at its relaxed geometry (PBE).

```
3
Lattice="4.774 0.000 0.000 -2.387 4.134 0.000 0.000 0.000 4.375" Properties=species:S:1:pos:R:3 pbc="T T T"
La 0.000 0.000 0.000
Er 0.000 2.756 2.194
As 2.387 1.378 2.712
```

D(E_F) ... 4.1 states/eV/f.u.
Energy above the lowest structure with this stoichiometry ... 334.3 meV/atom
SG ... P3m1 (156)
Raw total energy ... -16.070 eV/f.u.

=====

Entry from Alexandria via LeMat-Bulk: crystalline PrLu2As at its relaxed geometry (PBE).

```
4
Lattice="1.860 1.074 10.399 -1.860 1.074 10.399 0.000 -2.148 10.399" Properties=species:S:1:pos:R:3 pbc="T T T"
Pr 0.000 0.000 0.000
Lu 0.000 0.000 3.494
Lu 0.000 0.000 27.705
As 0.000 0.000 15.599
```

D(E_F) ... 4.3 states/eV/f.u.
SG ... R-3m (166)
Raw total energy ... -20.041 eV/f.u.

=====

Entry from Alexandria via LeMat-Bulk: crystalline Na2SiPd3 at its relaxed geometry (PBE).

```
6
Lattice="2.810 1.622 3.793 -2.810 1.622 3.793 0.000 -3.244 3.793" Properties=species:S:1:pos:R:3 pbc="T T T"
Na 0.000 0.000 1.377
Na 0.000 0.000 10.002
Si 0.000 0.000 5.690
Pd -1.405 -0.811 3.793
Pd -1.405 0.811 7.586
Pd 0.000 1.622 3.793
```

D(E_F) ... 2.4 states/eV/f.u.
SG ... R-3m (166)
Raw total energy ... -26.181 eV/f.u.
Energy relative to the elements, uncorrected ... -2.5 eV per formula unit

=====

Entry from Alexandria via LeMat-Bulk: crystalline Tb2MgSn9 at its relaxed geometry (PBE).

```
12
Lattice="4.634 0.000 0.000 0.000 4.634 0.000 0.000 0.000 14.642" Properties=species:S:1:pos:R:3 pbc="T T T"
Tb 0.000 0.000 2.354
Tb 0.000 0.000 12.288
Mg 0.000 0.000 7.321
Sn 0.000 2.317 0.000
Sn 0.000 2.317 4.923
Sn 0.000 2.317 9.719
Sn 2.317 0.000 0.000
Sn 2.317 0.000 4.923
Sn 2.317 0.000 9.719
Sn 2.317 2.317 2.502
Sn 2.317 2.317 7.321
Sn 2.317 2.317 12.140
```

D(E_F) ... 3.5 states/eV/f.u.
SG ... P4/mmm (123)
Raw total energy ... -50.509 eV/f.u.

=====

Entry from Alexandria via LeMat-Bulk: crystalline Sm2ScPt at its relaxed geometry (PBE).

```
4
Lattice="3.692 0.000 0.000 0.000 3.692 0.000 0.000 0.000 7.557" Properties=species:S:1:pos:R:3 pbc="T T T"
Sm 0.000 0.000 1.651
Sm 0.000 0.000 5.907
Sc 1.846 1.846 3.779
Pt 1.846 1.846 0.000
```

D(E_F) ... 4.3 states/eV/f.u.
Energy above the lowest structure with this stoichiometry ... 0.0 meV/atom
SG ... P4/mmm (123)
Raw total energy ... -23.825 eV/f.u.

=====

Entry from Alexandria via LeMat-Bulk: crystalline CePuThGa at its relaxed geometry (PBE).

```
4
Lattice="0.000 3.707 3.707 3.707 0.000 3.707 3.707 3.707 0.000" Properties=species:S:1:pos:R:3 pbc="T T T"
Ce 0.000 0.000 0.000
Pu 3.707 3.707 3.707
Th 1.854 1.854 1.854
Ga 5.561 5.561 5.561
```

D(E_F) ... 12.9 states/eV/f.u.
SG ... F-43m (216)
Raw total energy ... -30.569 eV/f.u.

=====

Entry from Alexandria via LeMat-Bulk: crystalline Er3HPbS at its relaxed geometry (PBE).

```
12
Lattice="7.972 0.000 0.000 0.000 4.060 0.000 -1.509 0.000 8.332" Properties=species:S:1:pos:R:3 pbc="T T T"
Er 0.055 1.015 2.735
Er 1.126 1.015 7.976
Er 2.104 3.045 5.220
Er 4.360 1.015 3.113
Er 5.337 3.045 0.356
Er 6.409 3.045 5.597
H 1.924 3.045 7.476
H 4.539 1.015 0.856
Pb 2.257 3.045 2.028
Pb 4.206 1.015 6.304
S 0.256 1.015 5.408
S 6.208 3.045 2.924
```

D(E_F) ... 3.1 states/eV/f.u.
SG ... P2_1/m (11)
Raw total energy ... -30.575 eV/f.u.

=====

Entry from Alexandria via LeMat-Bulk: crystalline CuRh3C at its relaxed geometry (PBE).

```
5
Lattice="4.026 0.000 0.000 0.000 4.026 0.000 0.000 0.000 4.026" Properties=species:S:1:pos:R:3 pbc="T T T"
Cu 0.000 0.000 0.000
Rh 0.000 2.013 2.013
Rh 2.013 0.000 2.013
Rh 2.013 2.013 0.000
C 2.013 2.013 2.013
```

D(E_F) ... 5.7 states/eV/f.u.
Energy above the lowest structure with this stoichiometry ... 0.0 meV/atom
SG ... Pm-3m (221)
Raw total energy ... -34.404 eV/f.u.

=====

Entry from Alexandria via LeMat-Bulk: crystalline MnCdMo2 at its relaxed geometry (PBE).

```
4
Lattice="1.438 0.830 9.213 -1.438 0.830 9.213 0.000 -1.661 9.213" Properties=species:S:1:pos:R:3 pbc="T T T"
Mn 0.000 0.000 0.000
Cd 0.000 0.000 20.822
Mo 0.000 0.000 7.221
Mo 0.000 0.000 14.162
```

D(E_F) ... 4.3 states/eV/f.u.
SG ... R3m (160)
Raw total energy ... -30.074 eV/f.u.

=====

Entry from Alexandria via LeMat-Bulk: crystalline MgP2Pb at its relaxed geometry (PBE).

```
4
Lattice="6.747 -1.660 0.000 6.747 1.660 0.000 -1.232 0.000 3.922" Properties=species:S:1:pos:R:3 pbc="T T T"
Mg 0.000 0.000 0.000
P 5.840 0.000 1.870
P 11.008 0.000 1.360
Pb 1.955 0.000 2.780
```

D(E_F) ... 1.6 states/eV/f.u.
SG ... Cm (8)
Raw total energy ... -16.079 eV/f.u.

=====

Entry from Alexandria via LeMat-Bulk: crystalline La2AsPIr at its relaxed geometry (PBE).

```
5
Lattice="5.651 0.000 0.000 0.000 5.651 0.000 0.000 0.000 4.278" Properties=species:S:1:pos:R:3 pbc="T T T"
La 0.000 2.826 0.000
La 2.826 0.000 0.000
As 0.000 0.000 2.139
P 2.826 2.826 0.000
Ir 2.826 2.826 2.139
```

D(E_F) ... 2.4 states/eV/f.u.
SG ... P4/mmm (123)
Raw total energy ... -32.534 eV/f.u.

=====

Entry from Alexandria via LeMat-Bulk: crystalline Ti2ReMo at its relaxed geometry (PBE).

```
4
Lattice="3.130 0.000 0.000 0.000 3.130 0.000 0.000 0.000 6.312" Properties=species:S:1:pos:R:3 pbc="T T T"
Ti 0.000 0.000 1.539
Ti 0.000 0.000 4.774
Re 1.565 1.565 0.000
Mo 1.565 1.565 3.156
```

D(E_F) ... 5.9 states/eV/f.u.
SG ... P4/mmm (123)
Raw total energy ... -39.949 eV/f.u.

=====

Entry from Alexandria via LeMat-Bulk: crystalline Pr3Nd2Se6 at its relaxed geometry (PBE).

```
11
Lattice="3.678 -6.349 0.000 3.678 6.349 0.000 -2.442 0.000 6.885" Properties=species:S:1:pos:R:3 pbc="T T T"
Pr 0.000 0.000 0.000
Pr 3.678 2.082 0.000
Pr 3.678 -2.082 0.000
Nd 2.457 4.247 3.443
Nd 2.457 -4.247 3.443
Se 1.238 2.102 1.746
Se 0.041 0.000 5.106
Se 1.238 -2.102 1.746
Se 3.677 2.102 5.140
Se 4.874 0.000 1.779
Se 3.677 -2.102 5.140
```

D(E_F) ... 4.7 states/eV/f.u.
SG ... C2/m (12)
Raw total energy ... -65.533 eV/f.u.
Energy relative to the elements, uncorrected ... -20.8 eV per formula unit

=====

Entry from Alexandria via LeMat-Bulk: crystalline SiTeOsI2 at its relaxed geometry (PBE).

```
5
Lattice="5.453 0.000 0.000 0.000 5.453 0.000 0.000 0.000 5.081" Properties=species:S:1:pos:R:3 pbc="T T T"
Si 0.000 0.000 0.000
Te 2.726 2.726 0.000
Os 2.726 2.726 2.540
I 0.000 2.726 2.540
I 2.726 0.000 2.540
```

D(E_F) ... 4.9 states/eV/f.u.
Energy above the lowest structure with this stoichiometry ... 0.0 meV/atom
SG ... P4/mmm (123)
Raw total energy ... -17.809 eV/f.u.
Energy relative to the elements, uncorrected ... 5.1 eV per formula unit

=====

Entry from Alexandria via LeMat-Bulk: crystalline Np2SnPtRh4 at its relaxed geometry (PBE).

```
16
Lattice="1.943 -5.569 0.000 1.943 5.569 0.000 0.000 0.000 14.021" Properties=species:S:1:pos:R:3 pbc="T T T"
Np 1.943 3.919 8.183
Np 1.943 3.919 12.848
Np 1.943 -3.919 1.173
Np 1.943 -3.919 5.838
Sn 1.943 1.371 10.516
Sn 1.943 -1.371 3.505
Pt 1.943 2.221 3.505
Pt 1.943 -2.221 10.516
Rh 1.943 5.163 10.516
Rh 1.943 3.991 1.377
Rh 1.943 3.991 5.634
Rh 1.943 0.000 0.000
Rh 1.943 0.000 7.011
Rh 1.943 -3.991 8.388
Rh 1.943 -3.991 12.644
Rh 1.943 -5.163 3.505
```

D(E_F) ... 18.1 states/eV/f.u.
SG ... Cmcm (63)
Raw total energy ... -67.379 eV/f.u.

=====

Entry from Alexandria via LeMat-Bulk: crystalline ReSi2Rh at its relaxed geometry (PBE).

```
4
Lattice="2.857 0.000 0.000 0.000 3.743 0.000 0.000 0.000 5.247" Properties=species:S:1:pos:R:3 pbc="T T T"
Re 0.000 0.000 0.000
Si 1.429 1.872 1.197
Si 1.429 1.872 4.050
Rh 1.429 0.000 2.623
```

D(E_F) ... 2.7 states/eV/f.u.
Energy above the lowest structure with this stoichiometry ... 219.0 meV/atom
SG ... Pmmm (47)
Raw total energy ... -31.557 eV/f.u.
Energy relative to the elements, uncorrected ... -0.9 eV per formula unit

=====

Entry from Alexandria via LeMat-Bulk: crystalline Cu2B3Pt6 at its relaxed geometry (PBE).

```
11
Lattice="2.238 -5.161 0.000 2.238 5.161 0.000 -0.863 0.000 6.500" Properties=species:S:1:pos:R:3 pbc="T T T"
Cu 2.238 3.494 0.000
Cu 2.238 -3.494 0.000
B 1.807 3.346 3.250
B 1.807 0.000 3.250
B 1.807 -3.346 3.250
Pt 0.129 0.000 1.968
Pt 1.237 1.699 4.613
Pt 2.376 1.699 1.886
Pt 1.237 -1.699 4.613
Pt 2.376 -1.699 1.886
Pt 3.484 0.000 4.532
```

D(E_F) ... 2.4 states/eV/f.u.
SG ... C2/m (12)
Raw total energy ... -65.006 eV/f.u.

=====

Entry from Alexandria via LeMat-Bulk: crystalline Sc2AlTe at its relaxed geometry (PBE).

```
4
Lattice="1.720 0.993 9.306 -1.720 0.993 9.306 0.000 -1.986 9.306" Properties=species:S:1:pos:R:3 pbc="T T T"
Sc 0.000 0.000 0.000
Sc 0.000 0.000 6.746
Al 0.000 0.000 20.878
Te 0.000 0.000 13.825
```

D(E_F) ... 3.4 states/eV/f.u.
Energy above the lowest structure with this stoichiometry ... 467.4 meV/atom
SG ... R3m (160)
Raw total energy ... -20.194 eV/f.u.
Energy relative to the elements, uncorrected ... -0.6 eV per formula unit

=====

Entry from Alexandria via LeMat-Bulk: crystalline AcCdBiBr at its relaxed geometry (PBE).

```
4
Lattice="0.000 3.990 3.990 3.990 0.000 3.990 3.990 3.990 0.000" Properties=species:S:1:pos:R:3 pbc="T T T"
Ac 0.000 0.000 0.000
Cd 3.990 3.990 3.990
Bi 5.985 5.985 5.985
Br 1.995 1.995 1.995
```

D(E_F) ... 3.1 states/eV/f.u.
SG ... F-43m (216)
Raw total energy ... -13.494 eV/f.u.
Energy relative to the elements, uncorrected ... -2.9 eV per formula unit

=====

Entry from Alexandria via LeMat-Bulk: crystalline Hg2PdPb2 at its relaxed geometry (PBE).

```
5
Lattice="-1.942 1.942 9.227 1.942 -1.942 9.227 1.942 1.942 -9.227" Properties=species:S:1:pos:R:3 pbc="T T T"
Hg 1.942 0.000 4.614
Hg 0.000 1.942 4.614
Pd 0.000 0.000 0.000
Pb 0.000 0.000 7.670
Pb 0.000 0.000 10.784
```

D(E_F) ... 3.1 states/eV/f.u.
Energy above the lowest structure with this stoichiometry ... 246.6 meV/atom
SG ... I4/mmm (139)
Raw total energy ... -12.546 eV/f.u.

=====

Entry from Alexandria via LeMat-Bulk: crystalline NaSrSb2S4 at its relaxed geometry (PBE).

```
8
Lattice="0.000 5.645 4.063 4.364 0.000 4.063 4.364 5.645 0.000" Properties=species:S:1:pos:R:3 pbc="T T T"
Na 0.000 0.000 0.000
Sr 4.364 5.645 4.071
Sb 2.182 2.822 1.942
Sb 6.545 8.467 6.005
S 6.572 5.645 2.059
S 4.364 2.752 4.528
S 2.155 5.645 2.059
S 4.364 8.538 4.528
```

D(E_F) ... 2.2 states/eV/f.u.
SG ... Fmm2 (42)
Raw total energy ... -34.404 eV/f.u.
Energy relative to the elements, uncorrected ... -6.6 eV per formula unit